Density functional theory data (PBE) for a geometry-optimized PrHo2AlPd4 structure.

Computed properties:
Formation enthalpy at 0 K = -0.82 eV/atom
Spin magnetization = 0.0 μB per formula unit
DOS at the Fermi energy = 0.7376 states/eV per atom
Electronic total energy = -45.0 eV/cell

Cell lengths 4.7948, 4.7948, 8.7619 Å; angles 74.12, 74.12, 60.00 degrees
With the nearest neighbours (Å) after each atom.
Fractional coordinates of all 8 atoms:
Pr 0.0000 0.0000 0.0000  8 Pd 3.17-3.23
Ho 0.7582 0.7582 0.7255  7 Pd 2.80-2.93
Ho 0.2418 0.2418 0.2745  7 Pd 2.80-2.93
Al 0.5000 0.5000 0.5000  8 Pd 2.61-2.92
Pd 0.3953 0.3953 0.8140  1 Al 2.61, 3 Ho 2.86
Pd 0.8703 0.8703 0.3890  4 Ho 2.80-2.93, 3 Al 2.92
Pd 0.1297 0.1297 0.6110  4 Ho 2.80-2.93, 3 Al 2.92
Pd 0.6047 0.6047 0.1860  1 Al 2.61, 3 Ho 2.86